No. 1
First-principles (PBE-GGA) data for a relaxed structure of Al2ZnWAu, as listed in Alexandria via LeMat-Bulk.

a = 4.870 Å, b = 4.870 Å, c = 4.868 Å
α = 90.00°, β = 90.00°, γ = 90.00°
Fractional positions:
Al 0.000 0.500 0.000
Al 0.500 0.000 0.000
Zn 0.000 0.000 0.500
W 0.000 0.000 0.000
Au 0.500 0.500 0.500

Properties
Mass density = 7.19 g/cm3
Total DFT energy (no corrections) = -3.974 eV per atom

***

No. 2
First-principles (PBE-GGA) data for a relaxed structure of YAl2Au2, as listed in Alexandria via LeMat-Bulk.

a = 7.679 Å, b = 7.679 Å, c = 3.356 Å
α = 90.00°, β = 90.00°, γ = 90.00°
Fractional positions:
Y 0.000 0.000 0.000
Y 0.500 0.500 0.000
Al 0.167 0.333 0.500
Al 0.333 0.833 0.500
Al 0.667 0.167 0.500
Al 0.833 0.667 0.500
Au 0.130 0.630 0.000
Au 0.370 0.130 0.000
Au 0.630 0.870 0.000
Au 0.870 0.370 0.000

Properties
Mass density = 9.01 g/cm3
Total DFT energy (no corrections) = -4.510 eV per atom

***

total DFT energy (no corrections) of number 1 (Al2ZnWAu)?
-3.974 eV per atom

***

Which value of total DFT energy (no corrections) does entry 2 give?
-4.510 eV per atom

***

What is the total DFT energy (no corrections) in the first record?
-3.974 eV per atom